Computed, not measured: a relaxed structure of Ge2PIr at the PBE level of DFT.

**Energy of formation from the pure elements**: 0.40 eV per atom
**V**: 63.9 Å³/f.u.
**Uncorrected energy**: -0.403 Ry/atom
**SG**: Fm-3m (225)

POSCAR file:
```
Ge2PIr
1.0
6.346 0.000 0.000
0.000 6.346 0.000
0.000 0.000 6.346
Ge P Ir
8 4 4
direct
0.250 0.250 0.250
0.250 0.250 0.750
0.250 0.750 0.250
0.250 0.750 0.750
0.750 0.250 0.250
0.750 0.250 0.750
0.750 0.750 0.250
0.750 0.750 0.750
0.000 0.000 0.000
0.000 0.500 0.500
0.500 0.000 0.500
0.500 0.500 0.000
0.000 0.000 0.500
0.000 0.500 0.000
0.500 0.000 0.000
0.500 0.500 0.500
```

Computed, not measured: a relaxed structure of Na2CrOsRu at the PBE level of DFT.

**Energy of formation from the pure elements**: 2.02 eV per atom
**V**: 105.3 Å³/f.u.
**Uncorrected energy**: -0.333 Ry/atom
**SG**: P4/mmm (123)

POSCAR file:
```
Na2CrOsRu
1.0
4.887 0.000 0.000
0.000 4.887 0.000
0.000 0.000 4.409
Na Cr Os Ru
2 1 1 1
direct
0.000 0.500 0.000
0.500 0.000 0.000
0.000 0.000 0.000
0.500 0.500 0.500
0.000 0.000 0.500
```

Computed, not measured: a relaxed structure of CaAgPb2S at the PBE level of DFT.

**Energy relative to the elements, uncorrected**: -0.147 eV per atom
**V**: 159.7 Å³/f.u.
**Uncorrected energy**: -0.252 Ry/atom
**SG**: P4/mmm (123)

POSCAR file:
```
CaAgPb2S
1.0
5.562 0.000 0.000
0.000 5.562 0.000
0.000 0.000 5.162
Ca Ag Pb S
1 1 2 1
direct
0.000 0.000 0.000
0.500 0.500 0.000
0.000 0.500 0.500
0.500 0.000 0.500
0.000 0.000 0.500
```

Computed, not measured: a relaxed structure of ErCu5Pd7 at the PBE level of DFT.

**Energy of formation from the pure elements**: -0.33 eV per atom
**V**: 195.0 Å³/f.u.
**Uncorrected energy**: -0.371 Ry/atom
**SG**: Imm2 (44)

POSCAR file:
```
ErCu5Pd7
1.0
-2.506 4.367 4.455
2.506 -4.367 4.455
2.506 4.367 -4.455
Er Cu Pd
1 5 7
direct
0.000 0.000 0.000
0.498 0.494 0.503
0.498 0.995 0.004
0.763 0.263 0.500
0.991 0.494 0.996
0.991 0.995 0.497
0.191 0.490 0.701
0.221 0.721 0.500
0.339 0.997 0.342
0.344 0.344 0.000
0.650 0.650 0.000
0.654 0.997 0.658
0.790 0.490 0.299
```

Computed, not measured: a relaxed structure of SrP2Pb2 at the PBE level of DFT.

**Energy of formation from the pure elements**: -0.22 eV per atom
**V**: 150.0 Å³/f.u.
**Uncorrected energy**: -0.309 Ry/atom
**SG**: P4/mbm (127)

POSCAR file:
```
SrP2Pb2
1.0
7.323 0.000 0.000
0.000 7.323 0.000
0.000 0.000 5.593
Sr P Pb
2 4 4
direct
0.000 0.000 0.000
0.500 0.500 0.000
0.102 0.398 0.000
0.398 0.898 0.000
0.602 0.102 0.000
0.898 0.602 0.000
0.181 0.319 0.500
0.319 0.819 0.500
0.681 0.181 0.500
0.819 0.681 0.500
```

Computed, not measured: a relaxed structure of Mn2CdSb at the PBE level of DFT.

**Energy relative to the elements, uncorrected**: 0.259 eV per atom
**V**: 73.8 Å³/f.u.
**Uncorrected energy**: -0.411 Ry/atom
**SG**: Imm2 (44)

POSCAR file:
```
Mn2CdSb
1.0
4.005 0.000 0.000
0.000 4.027 0.000
0.000 0.000 9.157
Mn Cd Sb
4 2 2
direct
0.000 0.000 0.000
0.000 0.500 0.251
0.500 0.000 0.751
0.500 0.500 0.500
0.000 0.000 0.500
0.500 0.500 0.000
0.000 0.500 0.750
0.500 0.000 0.250
```

Computed, not measured: a relaxed structure of BiPb2Br6 at the PBE level of DFT.

**Energy relative to the elements, uncorrected**: -0.711 eV per atom
**V**: 355.2 Å³/f.u.
**Uncorrected energy**: -0.226 Ry/atom
**SG**: P4_2/mnm (136)

POSCAR file:
```
BiPb2Br6
1.0
7.347 0.000 0.000
0.000 7.347 0.000
0.000 0.000 13.160
Bi Pb Br
2 4 12
direct
0.000 0.000 0.000
0.500 0.500 0.500
0.000 0.000 0.339
0.000 0.000 0.661
0.500 0.500 0.161
0.500 0.500 0.839
0.200 0.200 0.158
0.200 0.200 0.842
0.204 0.204 0.500
0.296 0.704 0.000
0.300 0.700 0.342
0.300 0.700 0.658
0.700 0.300 0.342
0.700 0.300 0.658
0.704 0.296 0.000
0.796 0.796 0.500
0.800 0.800 0.158
0.800 0.800 0.842
```

Computed, not measured: a relaxed structure of Sm6InS4 at the PBE level of DFT.

**Energy relative to the elements, uncorrected**: -1.581 eV per atom
**V**: 280.2 Å³/f.u.
**Uncorrected energy**: -0.434 Ry/atom
**SG**: Cmcm (63)

POSCAR file:
```
Sm6InS4
1.0
2.015 -6.744 0.000
2.015 6.744 0.000
0.000 0.000 20.625
Sm In S
12 2 8
direct
0.000 0.000 0.000
0.000 0.000 0.500
0.156 0.844 0.750
0.272 0.728 0.083
0.272 0.728 0.417
0.461 0.539 0.657
0.461 0.539 0.843
0.539 0.461 0.157
0.539 0.461 0.343
0.728 0.272 0.583
0.728 0.272 0.917
0.844 0.156 0.250
0.162 0.838 0.250
0.838 0.162 0.750
0.095 0.905 0.622
0.095 0.905 0.878
0.363 0.637 0.539
0.363 0.637 0.961
0.637 0.363 0.039
0.637 0.363 0.461
0.905 0.095 0.122
0.905 0.095 0.378
```

Computed, not measured: a relaxed structure of CoPH at the PBE level of DFT.

**V**: 27.3 Å³/f.u.
**Uncorrected energy**: -0.383 Ry/atom
**SG**: Amm2 (38)

POSCAR file:
```
CoPH
1.0
2.581 0.000 0.000
0.000 2.549 0.000
0.000 0.000 8.295
Co P H
2 2 2
direct
0.000 0.000 0.000
0.000 0.500 0.500
0.000 0.000 0.272
0.000 0.500 0.772
0.500 0.000 0.525
0.500 0.500 0.025
```

Computed, not measured: a relaxed structure of Na3PaSe4 at the PBE level of DFT.

**Energy relative to the elements, uncorrected**: -1.292 eV per atom
**V**: 212.8 Å³/f.u.
**Uncorrected energy**: -0.347 Ry/atom
**SG**: Cmmm (65)

POSCAR file:
```
Na3PaSe4
1.0
8.477 0.000 0.000
0.000 11.773 0.000
0.000 0.000 4.264
Na Pa Se
6 2 8
direct
0.000 0.000 0.000
0.250 0.250 0.500
0.250 0.750 0.500
0.500 0.500 0.000
0.750 0.250 0.500
0.750 0.750 0.500
0.000 0.500 0.000
0.500 0.000 0.000
0.000 0.270 0.000
0.000 0.730 0.000
0.226 0.500 0.500
0.274 0.000 0.500
0.500 0.230 0.000
0.500 0.770 0.000
0.726 0.000 0.500
0.774 0.500 0.500
```

Computed, not measured: a relaxed structure of BiPCCl2 at the PBE level of DFT.

**Energy relative to the elements, uncorrected**: 0.940 eV per atom
**V**: 90.2 Å³/f.u.
**Uncorrected energy**: -0.257 Ry/atom
**SG**: P4/mmm (123)

POSCAR file:
```
BiPCCl2
1.0
4.436 0.000 0.000
0.000 4.436 0.000
0.000 0.000 4.585
Bi P C Cl
1 1 1 2
direct
0.000 0.000 0.000
0.500 0.500 0.000
0.500 0.500 0.500
0.000 0.500 0.500
0.500 0.000 0.500
```

Computed, not measured: a relaxed structure of Zn7Co at the PBE level of DFT.

**Energy of formation from the pure elements**: 0.00 eV per atom
**V**: 111.0 Å³/f.u.
**Uncorrected energy**: -0.147 Ry/atom
**SG**: Fm-3m (225)

POSCAR file:
```
Zn7Co
1.0
0.000 3.815 3.815
3.815 0.000 3.815
3.815 3.815 0.000
Zn Co
7 1
direct
0.000 0.000 0.000
0.000 0.000 0.500
0.000 0.500 0.000
0.000 0.500 0.500
0.500 0.000 0.000
0.500 0.000 0.500
0.500 0.500 0.000
0.500 0.500 0.500
```